Entry 1:
## Ti3TcP (GGA-PBE)

Data for an optimized crystal structure of Ti3TcP. Values from VASP.

Calculated values
- energy relative to the elements (meV per atom) = 578.5
- VASP energy (hartree per atom) = -0.2688

Structure (Quantum ESPRESSO input):
```
&SYSTEM
  ibrav = 0, nat = 5, ntyp = 3
/
ATOMIC_SPECIES
Ti 47.87 Ti.upf
Tc 98.00 Tc.upf
P 30.97 P.upf
ATOMIC_POSITIONS angstrom
Ti 0.000 0.000 2.327
Ti 0.000 2.327 0.000
Ti 2.327 0.000 0.000
Tc 0.000 0.000 0.000
P 2.327 2.327 2.327
CELL_PARAMETERS angstrom
4.653 0.000 0.000
0.000 4.653 0.000
0.000 0.000 4.653
```

---

Entry 2:
## Sc2CoAs (GGA-PBE)

Data for an optimized crystal structure of Sc2CoAs. Values from VASP.

Calculated values
- energy relative to the elements (meV per atom) = -628.3
- VASP energy (hartree per atom) = -0.2474

Structure (Quantum ESPRESSO input):
```
&SYSTEM
  ibrav = 0, nat = 4, ntyp = 3
/
ATOMIC_SPECIES
Sc 44.96 Sc.upf
Co 58.93 Co.upf
As 74.92 As.upf
ATOMIC_POSITIONS angstrom
Sc 0.000 2.224 0.000
Sc 2.224 0.000 0.000
Co 0.000 0.000 1.732
As 2.224 2.224 1.732
CELL_PARAMETERS angstrom
4.448 0.000 0.000
0.000 4.448 0.000
0.000 0.000 3.464
```